BaSiNi3, relaxed, DFT PBE; density = 4.87 g/cm3; final energy = -14.96 eV/cell; formation energy (no corrections) = 1945 meV/atom; energy relative to the lowest polymorph listed for this composition = 1931 meV per atom
1.0
4.882 0.000 0.000
0.000 4.882 0.000
0.000 0.000 4.882
Ba Si Ni
1 1 3
Direct
0.000 0.000 0.000 Ba
0.500 0.500 0.500 Si
0.000 0.000 0.500 Ni
0.000 0.500 0.000 Ni
0.500 0.000 0.000 Ni